# V2ZnO4

A geometry-optimized V2ZnO4 structure (GGA-PBEsol, the Alexandria database).

The calculation puts the density of states at the Fermi level at 0.435 states/eV per atom. Its uncorrected formation energy is -1911 meV per atom. The calculation puts the distance to the lowest polymorph of the same formula at 135 meV per atom. As for the density: 5.22 g cm⁻³. As for the total moment: 16.0 Bohr magnetons per cell.

The structure belongs to space group Imma (No. 74); the cell edges are 5.8054, 5.9250 and 8.5532 Å and the angles 90.00°, 90.00° and 90.00°. The asymmetric unit holds V at (0.0000, 0.2500, 0.1215), V at (0.2500, 0.2500, 0.7500), Zn at (0.0000, 0.0000, 0.5000), O at (0.0000, 0.0097, 0.7526) and O at (0.2474, 0.2500, 0.5141).